1.
This record from Alexandria describes a relaxed BiSbH2 crystal. The functional is GGA-PBE.

Geometry as POSCAR:
```
BiSbH2
1.0
4.233 0.000 0.000
0.000 19.085 0.000
0.000 0.000 6.427
Bi Sb H
4 4 8
Direct
0.000 0.217 0.250
0.000 0.783 0.750
0.500 0.283 0.750
0.500 0.717 0.250
0.000 0.175 0.750
0.000 0.825 0.250
0.500 0.325 0.250
0.500 0.675 0.750
0.000 0.462 0.692
0.000 0.462 0.808
0.000 0.538 0.192
0.000 0.538 0.308
0.500 0.038 0.192
0.500 0.038 0.308
0.500 0.962 0.692
0.500 0.962 0.808
```

**E above lowest polymorph**: 0 meV per atom
**Crystal system**: orthorhombic

***

2.
This record from Alexandria describes a relaxed Te2RhI crystal. The functional is GGA-PBE.

Geometry as POSCAR:
```
Te2RhI
1.0
6.898 0.000 0.000
0.000 5.251 0.000
0.000 0.000 12.485
Te Rh I
8 4 4
Direct
0.073 0.225 0.063
0.073 0.275 0.437
0.427 0.725 0.437
0.427 0.775 0.063
0.573 0.225 0.937
0.573 0.275 0.563
0.927 0.725 0.563
0.927 0.775 0.937
0.250 0.000 0.585
0.250 0.500 0.915
0.750 0.000 0.415
0.750 0.500 0.085
0.050 0.250 0.750
0.450 0.750 0.750
0.550 0.250 0.250
0.950 0.750 0.250
```

**Crystal system**: orthorhombic
**Formation energy (no corrections)**: -0.2576 eV/atom

***

3.
This record from Alexandria describes a relaxed NdAl4CuPt2 crystal. The functional is GGA-PBE.

Geometry as POSCAR:
```
NdAl4CuPt2
1.0
2.132 1.231 8.900
-2.132 1.231 8.900
0.000 -2.462 8.900
Nd Al Cu Pt
1 4 1 2
Direct
0.000 0.000 0.000
0.133 0.133 0.133
0.405 0.405 0.405
0.595 0.595 0.595
0.867 0.867 0.867
0.500 0.500 0.500
0.235 0.235 0.235
0.765 0.765 0.765
```

**ΔH_f (0 K)**: -6.2 eV per formula unit
**Crystal system**: trigonal

***

4.
This record from Alexandria describes a relaxed CaNd2Sc crystal. The functional is GGA-PBE.

Geometry as POSCAR:
```
CaNd2Sc
1.0
8.088 0.000 0.000
0.000 8.088 0.000
0.000 0.000 8.088
Ca Nd Sc
4 8 4
Direct
0.000 0.000 0.000
0.000 0.500 0.500
0.500 0.000 0.500
0.500 0.500 0.000
0.250 0.250 0.250
0.250 0.250 0.750
0.250 0.750 0.250
0.250 0.750 0.750
0.750 0.250 0.250
0.750 0.250 0.750
0.750 0.750 0.250
0.750 0.750 0.750
0.000 0.000 0.500
0.000 0.500 0.000
0.500 0.000 0.000
0.500 0.500 0.500
```

**E above lowest polymorph**: 68 meV per atom
**ΔH_f (0 K)**: 0.5 eV per formula unit
**Crystal system**: cubic

***

5.
This record from Alexandria describes a relaxed CdPd2Pt9 crystal. The functional is GGA-PBE.

Geometry as POSCAR:
```
CdPd2Pt9
1.0
3.976 0.000 0.000
0.000 3.976 0.000
0.000 0.000 12.040
Cd Pd Pt
1 2 9
Direct
0.000 0.000 0.000
0.000 0.000 0.336
0.000 0.000 0.664
0.000 0.500 0.171
0.000 0.500 0.500
0.000 0.500 0.829
0.500 0.000 0.171
0.500 0.000 0.500
0.500 0.000 0.829
0.500 0.500 0.000
0.500 0.500 0.335
0.500 0.500 0.665
```

**ΔH_f (0 K)**: -1.0 eV per formula unit
**Crystal system**: tetragonal

***

6.
This record from Alexandria describes a relaxed TmGa2Ni2 crystal. The functional is GGA-PBE.

Geometry as POSCAR:
```
TmGa2Ni2
1.0
4.019 0.000 0.000
0.000 4.019 0.000
0.000 0.000 10.036
Tm Ga Ni
2 4 4
Direct
0.000 0.000 0.000
0.500 0.500 0.500
0.000 0.000 0.375
0.000 0.000 0.625
0.500 0.500 0.125
0.500 0.500 0.875
0.000 0.500 0.250
0.000 0.500 0.750
0.500 0.000 0.250
0.500 0.000 0.750
```

**ΔH_f (0 K)**: -2.7 eV per formula unit
**Crystal system**: tetragonal

***

7.
This record from Alexandria describes a relaxed Ac2YZn crystal. The functional is GGA-PBE.

Geometry as POSCAR:
```
Ac2YZn
1.0
3.906 0.000 0.000
0.000 3.906 0.000
0.000 0.000 9.074
Ac Y Zn
2 1 1
Direct
0.000 0.000 0.214
0.000 0.000 0.786
0.500 0.500 0.500
0.500 0.500 0.000
```

**E above lowest polymorph**: 0 meV per atom
**ΔH_f (0 K)**: -0.4 eV per formula unit
**Crystal system**: tetragonal

***

8.
This record from Alexandria describes a relaxed AlZnFe2 crystal. The functional is GGA-PBE.

Geometry as POSCAR:
```
AlZnFe2
1.0
5.183 0.000 0.000
0.000 7.495 0.000
-0.032 0.000 2.608
Al Zn Fe
2 2 4
Direct
0.000 0.000 0.000
0.500 0.500 0.000
0.000 0.500 0.000
0.500 0.000 0.000
0.250 0.250 0.500
0.250 0.750 0.500
0.750 0.250 0.500
0.750 0.750 0.500
```

**ΔH_f (0 K)**: -0.5 eV per formula unit
**Crystal system**: monoclinic

***

9.
This record from Alexandria describes a relaxed PrHo5Au4 crystal. The functional is GGA-PBE.

Geometry as POSCAR:
```
PrHo5Au4
1.0
3.565 0.000 0.000
0.000 3.565 0.000
0.000 0.000 19.781
Pr Ho Au
1 5 4
Direct
0.000 0.000 0.000
0.500 0.500 0.135
0.500 0.500 0.316
0.500 0.500 0.500
0.500 0.500 0.684
0.500 0.500 0.865
0.000 0.000 0.222
0.000 0.000 0.408
0.000 0.000 0.592
0.000 0.000 0.778
```

**ΔH_f (0 K)**: -6.9 eV per formula unit
**Crystal system**: tetragonal

***

10.
This record from Alexandria describes a relaxed Th3Sb2Te3 crystal. The functional is GGA-PBE.

Geometry as POSCAR:
```
Th3Sb2Te3
1.0
4.013 0.000 0.000
0.000 5.046 0.000
0.000 0.000 22.962
Th Sb Te
6 4 6
Direct
0.000 0.000 0.000
0.000 0.500 0.141
0.000 0.500 0.859
0.500 0.000 0.359
0.500 0.000 0.641
0.500 0.500 0.500
0.000 0.000 0.247
0.000 0.000 0.753
0.500 0.500 0.253
0.500 0.500 0.747
0.000 0.000 0.500
0.000 0.500 0.389
0.000 0.500 0.611
0.500 0.000 0.111
0.500 0.000 0.889
0.500 0.500 0.000
```

**Crystal system**: orthorhombic
**Formation energy (no corrections)**: -0.9414 eV/atom

***

11.
This record from Alexandria describes a relaxed RbSc2Cu crystal. The functional is GGA-PBE.

Geometry as POSCAR:
```
RbSc2Cu
1.0
7.208 0.000 0.000
0.000 7.208 0.000
0.000 0.000 7.208
Rb Sc Cu
4 8 4
Direct
0.000 0.000 0.000
0.000 0.500 0.500
0.500 0.000 0.500
0.500 0.500 0.000
0.250 0.250 0.250
0.250 0.250 0.750
0.250 0.750 0.250
0.250 0.750 0.750
0.750 0.250 0.250
0.750 0.250 0.750
0.750 0.750 0.250
0.750 0.750 0.750
0.000 0.000 0.500
0.000 0.500 0.000
0.500 0.000 0.000
0.500 0.500 0.500
```

**E above lowest polymorph**: 346 meV per atom
**ΔH_f (0 K)**: 3.0 eV per formula unit
**Crystal system**: cubic

***

12.
This record from Alexandria describes a relaxed Na5Mg3Cl12 crystal. The functional is GGA-PBE.

Geometry as POSCAR:
```
Na5Mg3Cl12
1.0
-8.359 8.359 8.359
8.359 -8.359 8.359
8.359 8.359 -8.359
Na Mg Cl
20 12 48
Direct
0.000 0.000 0.000
0.000 0.000 0.500
0.000 0.500 0.000
0.000 0.500 0.500
0.125 0.750 0.875
0.125 0.875 0.250
0.250 0.125 0.875
0.250 0.625 0.375
0.375 0.250 0.625
0.375 0.625 0.750
0.500 0.000 0.000
0.500 0.000 0.500
0.500 0.500 0.000
0.500 0.500 0.500
0.625 0.375 0.250
0.625 0.750 0.375
0.750 0.375 0.625
0.750 0.875 0.125
0.875 0.125 0.750
0.875 0.250 0.125
0.125 0.250 0.375
0.125 0.375 0.750
0.250 0.375 0.125
0.250 0.875 0.625
0.375 0.125 0.250
0.375 0.750 0.125
0.625 0.250 0.875
0.625 0.875 0.750
0.750 0.125 0.375
0.750 0.625 0.875
0.875 0.625 0.250
0.875 0.750 0.625
0.014 0.634 0.197
0.014 0.880 0.818
0.063 0.182 0.697
0.063 0.380 0.366
0.120 0.182 0.986
0.120 0.437 0.134
0.134 0.120 0.437
0.134 0.514 0.697
0.182 0.697 0.063
0.182 0.986 0.120
0.197 0.014 0.634
0.197 0.682 0.563
0.303 0.866 0.486
0.303 0.937 0.818
0.318 0.380 0.514
0.318 0.437 0.803
0.366 0.063 0.380
0.366 0.803 0.986
0.380 0.366 0.063
0.380 0.514 0.318
0.437 0.134 0.120
0.437 0.803 0.318
0.486 0.303 0.866
0.486 0.682 0.620
0.514 0.318 0.380
0.514 0.697 0.134
0.563 0.197 0.682
0.563 0.866 0.880
0.620 0.486 0.682
0.620 0.634 0.937
0.634 0.197 0.014
0.634 0.937 0.620
0.682 0.563 0.197
0.682 0.620 0.486
0.697 0.063 0.182
0.697 0.134 0.514
0.803 0.318 0.437
0.803 0.986 0.366
0.818 0.014 0.880
0.818 0.303 0.937
0.866 0.486 0.303
0.866 0.880 0.563
0.880 0.563 0.866
0.880 0.818 0.014
0.937 0.620 0.634
0.937 0.818 0.303
0.986 0.120 0.182
0.986 0.366 0.803
```

**Crystal system**: cubic
**Formation energy (no corrections)**: -1.5801 eV/atom